P | Cd2Sn2Se: relaxed, PBE.

The space group is P4/mbm (No. 127) and the conventional cell measures 8.032, 8.032 and 4.222 Å, with angles of 90.00, 90.00 and 90.00 degrees. The asymmetric unit holds Cd at (0.131, 0.369, 0.000), Sn at (0.181, 0.681, 0.500) and Se at (0.000, 0.000, 0.500).



Q | Cd2Sn2Se: relaxed, PBE.

The space group is P4/mbm (No. 127) and the conventional cell measures 7.436, 7.436 and 4.789 Å, with angles of 90.00, 90.00 and 90.00 degrees. The asymmetric unit holds Cd at (0.140, 0.360, 0.000), Sn at (0.156, 0.656, 0.500) and Se at (0.000, 0.000, 0.000).



According to the calculations, the structures order from most to least stable as P, Q.



P | SrCd3Se: relaxed, PBE.

The space group is Pm-3m (No. 221) and the conventional cell measures 6.225, 6.225 and 6.225 Å, with angles of 90.00, 90.00 and 90.00 degrees. The asymmetric unit holds Sr at (0.000, 0.000, 0.000), Cd at (0.000, 0.000, 0.500) and Se at (0.500, 0.500, 0.500).



Q | SrCd3Se: relaxed, PBE.

The space group is Pm-3m (No. 221) and the conventional cell measures 5.527, 5.527 and 5.527 Å, with angles of 90.00, 90.00 and 90.00 degrees. The asymmetric unit holds Sr at (0.000, 0.000, 0.000), Cd at (0.000, 0.500, 0.500) and Se at (0.500, 0.500, 0.500).



According to the calculations, the structures order from most to least stable as Q, P.